Record 1
## In2FeTe2 (PBE)

Data for a geometry-optimized In2FeTe2 structure.

Cell: 3.8733 3.8733 17.7446 Å, 90.00 90.00 90.00°
Space group I4/mmm (No. 139)
One atom of each set of equivalent atoms:
In: 0.0000 0.5000 0.2500 (multiplicity 4)
Fe: 0.0000 0.0000 0.0000 (multiplicity 2)
Te: 0.0000 0.0000 0.4181 (multiplicity 4)

Summary:
- energy relative to the elements, uncorrected (kJ/mol of formula units) = 339.6
- distance to the lowest polymorph of the same formula (meV per atom) = 548
- magnetic moment (μB/cell) = 0.0
- density (g cm⁻³) = 6.75
- calculated total energy (eV per formula unit) = -16.70

***

Record 2
## VTe (PBE)

Data for a geometry-optimized VTe structure.

Cell: 5.7456 7.2460 8.6099 Å, 90.00 90.00 90.00°
Space group P2_12_12_1 (No. 19)
One atom of each set of equivalent atoms:
V: 0.0206 0.1687 0.3804 (multiplicity 4)
V: 0.2286 0.4888 0.3727 (multiplicity 4)
Te: 0.0060 0.8552 0.8555 (multiplicity 4)
Te: 0.0190 0.3135 0.0990 (multiplicity 4)

Summary:
- energy relative to the elements, uncorrected (kJ/mol of formula units) = -16.0
- magnetic moment (μB/cell) = 0.5
- density (g cm⁻³) = 6.62
- calculated total energy (eV per formula unit) = -12.43

***

Record 3
## BeSi3 (PBE)

Data for a geometry-optimized BeSi3 structure.

Cell: 2.5186 2.5186 8.3835 Å, 90.00 90.00 90.00°
Space group P4/mmm (No. 123)
One atom of each set of equivalent atoms:
Be: 0.0000 0.0000 0.0000 (multiplicity 1)
Si: 0.0000 0.0000 0.5000 (multiplicity 1)
Si: 0.5000 0.5000 0.2057 (multiplicity 2)

Summary:
- energy relative to the elements, uncorrected (kJ/mol of formula units) = 171.1
- distance to the lowest polymorph of the same formula (meV per atom) = 107
- magnetic moment (μB/cell) = 0.0
- density (g cm⁻³) = 2.91
- calculated total energy (eV per formula unit) = -18.22

***

Record 4
## YHoPSe (PBE)

Data for a geometry-optimized YHoPSe structure.

Cell: 3.9631 3.9631 20.8629 Å, 90.00 90.00 120.00°
Space group R3m (No. 160, hexagonal axes)
One atom of each set of equivalent atoms:
Y: 0.0000 0.0000 0.0000 (multiplicity 3)
Ho: 0.0000 0.0000 0.8150 (multiplicity 3)
P: 0.0000 0.0000 0.4098 (multiplicity 3)
Se: 0.0000 0.0000 0.2391 (multiplicity 3)

Summary:
- energy relative to the elements, uncorrected (kJ/mol of formula units) = -664.8
- magnetic moment (μB/cell) = 0.0
- density (g cm⁻³) = 6.39
- calculated total energy (eV per formula unit) = -26.83

***

Record 5
## Cs4Sn3F10 (PBE)

Data for a geometry-optimized Cs4Sn3F10 structure.

Cell: 4.7657 4.7657 35.2569 Å, 90.00 90.00 90.00°
Space group I4/mmm (No. 139)
One atom of each set of equivalent atoms:
Cs: 0.0000 0.0000 0.0669 (multiplicity 4)
Cs: 0.0000 0.0000 0.2070 (multiplicity 4)
Sn: 0.0000 0.0000 0.3556 (multiplicity 4)
Sn: 0.0000 0.0000 0.5000 (multiplicity 2)
F: 0.0000 0.0000 0.2928 (multiplicity 4)
F: 0.0000 0.0000 0.4324 (multiplicity 4)
F: 0.0000 0.5000 0.0000 (multiplicity 4)
F: 0.0000 0.5000 0.1517 (multiplicity 8)

Summary:
- energy relative to the elements, uncorrected (kJ/mol of formula units) = -4105.7
- magnetic moment (μB/cell) = 0.0
- density (g cm⁻³) = 4.47
- calculated total energy (eV per formula unit) = -76.69

***

Record 6
## Pu2Zn3Ga4Au (PBE)

Data for a geometry-optimized Pu2Zn3Ga4Au structure.

Cell: 4.2425 4.2425 10.6917 Å, 90.00 90.00 90.00°
Space group P-4m2 (No. 115)
One atom of each set of equivalent atoms:
Pu: 0.0000 0.5000 0.2471 (multiplicity 2)
Zn: 0.0000 0.5000 0.8676 (multiplicity 2)
Zn: 0.5000 0.5000 0.5000 (multiplicity 1)
Ga: 0.0000 0.0000 0.0000 (multiplicity 1)
Ga: 0.0000 0.5000 0.6416 (multiplicity 2)
Ga: 0.5000 0.5000 0.0000 (multiplicity 1)
Au: 0.0000 0.0000 0.5000 (multiplicity 1)

Summary:
- magnetic moment (μB/cell) = 10.9
- density (g cm⁻³) = 10.01
- calculated total energy (eV per formula unit) = -50.69
- E_form (kJ/mol of atoms) = -27.2

***

Record 7
## Y2AlPt (PBE)

Data for a geometry-optimized Y2AlPt structure.

Cell: 6.9446 6.9446 6.9446 Å, 90.00 90.00 90.00°
Space group F-43m (No. 216)
One atom of each set of equivalent atoms:
Y: 0.0000 0.0000 0.0000 (multiplicity 4)
Y: 0.2500 0.2500 0.2500 (multiplicity 4)
Al: 0.0000 0.0000 0.5000 (multiplicity 4)
Pt: 0.2500 0.2500 0.7500 (multiplicity 4)

Summary:
- magnetic moment (μB/cell) = 3.9
- density (g cm⁻³) = 7.93
- calculated total energy (eV per formula unit) = -24.57
- E_form (kJ/mol of atoms) = -44.9

***

Record 8
## Ac2LaPr8 (PBE)

Data for a geometry-optimized Ac2LaPr8 structure.

Cell: 19.1640 5.3480 8.4383 Å, 90.00 105.41 90.00°
Space group C2/m (No. 12)
One atom of each set of equivalent atoms:
Ac: 0.2268 0.0000 0.1404 (multiplicity 4)
La: 0.0000 0.5000 0.5000 (multiplicity 2)
Pr: 0.0430 0.0000 0.2271 (multiplicity 4)
Pr: 0.0885 0.5000 0.9526 (multiplicity 4)
Pr: 0.1343 0.0000 0.6739 (multiplicity 4)
Pr: 0.1795 0.5000 0.4064 (multiplicity 4)

Summary:
- distance to the lowest polymorph of the same formula (meV per atom) = 0
- magnetic moment (μB/cell) = 0.0
- density (g cm⁻³) = 6.85
- calculated total energy (eV per formula unit) = -51.16
- E_form (kJ/mol of atoms) = 1.9